1.
# Na2BeAlAu6

A geometry-optimized Na2BeAlAu6 structure (PBE, the Alexandria database).

Unit cell a=6.6161 b=6.6161 c=6.8527 alpha=118.71 beta=118.71 gamma=60.09
Last column: nearest neighbours and their distance in Å.
Atoms (fractional coordinates):
Na  0.2102  0.2102  0.1300  12 Au 3.42-3.53, 1 Be 3.59
Na  0.7898  0.7898  0.8700  12 Au 3.42-3.53, 1 Be 3.59
Be  0.0000  0.0000  0.5000  6 Au 2.34
Al  0.5000  0.5000  0.0000  6 Au 2.55
Au  0.2410  0.6771  0.6605  1 Be 2.34, 1 Al 2.55
Au  0.2416  0.2416  0.6618  1 Be 2.34, 1 Al 2.55
Au  0.3229  0.7590  0.3395  1 Be 2.34, 1 Al 2.55
Au  0.6771  0.2410  0.6605  1 Be 2.34, 1 Al 2.55
Au  0.7584  0.7584  0.3382  1 Be 2.34, 1 Al 2.55
Au  0.7590  0.3229  0.3395  1 Be 2.34, 1 Al 2.55

volume: 21.628 A^3/atom
DOS at the Fermi energy: 2.55 states/eV/cell
spin magnetization: 0.0 μB per formula unit
SG: C2/m (12)
raw total energy: -0.237 Ry per atom

2.
# Na2Be2AlAu5

A geometry-optimized Na2Be2AlAu5 structure (PBE, the Alexandria database).

Unit cell a=10.7148 b=10.7148 c=2.9485 alpha=90.00 beta=90.00 gamma=90.00
Last column: nearest neighbours and their distance in Å.
Atoms (fractional coordinates):
Na  0.1762  0.3238  0.0000  2 Na 2.95, 3 Be 3.00-3.28, 10 Au 3.05-3.24
Na  0.3238  0.8238  0.0000  2 Na 2.95, 3 Be 3.00-3.28, 10 Au 3.05-3.24
Na  0.6762  0.1762  0.0000  2 Na 2.95, 3 Be 3.00-3.28, 10 Au 3.05-3.24
Na  0.8238  0.6762  0.0000  2 Na 2.95, 3 Be 3.00-3.28, 10 Au 3.05-3.24
Be  0.1258  0.6258  0.0000  6 Au 2.41-2.43
Be  0.3742  0.1258  0.0000  6 Au 2.41-2.43
Be  0.6258  0.8742  0.0000  6 Au 2.41-2.43
Be  0.8742  0.3742  0.0000  6 Au 2.41-2.43
Al  0.0000  0.0000  0.0000  8 Au 2.73, 2 Al 2.95
Al  0.5000  0.5000  0.0000  8 Au 2.73, 2 Al 2.95
Au  0.0000  0.5000  0.5000  4 Be 2.41
Au  0.0654  0.7959  0.5000  2 Be 2.43
Au  0.2041  0.0654  0.5000  2 Be 2.43
Au  0.2959  0.5654  0.5000  2 Be 2.43
Au  0.4346  0.2959  0.5000  2 Be 2.43
Au  0.5000  0.0000  0.5000  4 Be 2.41
Au  0.5654  0.7041  0.5000  2 Be 2.43
Au  0.7041  0.4346  0.5000  2 Be 2.43
Au  0.7959  0.9346  0.5000  2 Be 2.43
Au  0.9346  0.2041  0.5000  2 Be 2.43

volume: 16.925 A^3/atom
DOS at the Fermi energy: 2.04 states/eV/cell
spin magnetization: 0.0 μB per formula unit
SG: P4/mbm (127)
raw total energy: -0.246 Ry per atom

3.
# NdBeAl2Au4

A geometry-optimized NdBeAl2Au4 structure (PBE, the Alexandria database).

Unit cell a=9.2575 b=9.2575 c=9.2575 alpha=27.37 beta=27.37 gamma=27.37
Last column: nearest neighbours and their distance in Å.
Atoms (fractional coordinates):
Nd  0.0000  0.0000  0.0000  6 Au 3.15
Be  0.5000  0.5000  0.5000  8 Au 2.58-2.64
Al  0.2411  0.2411  0.2411  7 Au 2.60-2.82
Al  0.7589  0.7589  0.7589  7 Au 2.60-2.82
Au  0.1386  0.1386  0.1386  3 Be 2.64, 4 Al 2.74-2.82, 3 Au 2.94
Au  0.4034  0.4034  0.4034  1 Be 2.58, 3 Al 2.60
Au  0.5966  0.5966  0.5966  1 Be 2.58, 3 Al 2.60
Au  0.8614  0.8614  0.8614  3 Be 2.64, 4 Al 2.74-2.82, 3 Au 2.94

volume: 18.503 A^3/atom
DOS at the Fermi energy: 1.89 states/eV/cell
spin magnetization: 0.0 μB per formula unit
SG: R-3m (166)
raw total energy: -0.303 Ry per atom

4.
# NdBe2AlAu5

A geometry-optimized NdBe2AlAu5 structure (PBE, the Alexandria database).

Unit cell a=4.4040 b=4.4040 c=8.8596 alpha=90.00 beta=90.00 gamma=90.00
Last column: nearest neighbours and their distance in Å.
Atoms (fractional coordinates):
Nd  0.0000  0.0000  0.0000  4 Au 3.11
Be  0.5000  0.5000  0.2509  5 Au 2.22-2.31
Be  0.5000  0.5000  0.7491  5 Au 2.22-2.31
Al  0.0000  0.0000  0.5000  8 Au 2.67
Au  0.0000  0.5000  0.3291  2 Be 2.31
Au  0.0000  0.5000  0.6709  2 Be 2.31
Au  0.5000  0.0000  0.3291  2 Be 2.31
Au  0.5000  0.0000  0.6709  2 Be 2.31
Au  0.5000  0.5000  0.0000  2 Be 2.22

volume: 19.093 A^3/atom
DOS at the Fermi energy: 4.87 states/eV/cell
spin magnetization: 0.0 μB per formula unit
SG: P4/mmm (123)
raw total energy: -0.285 Ry per atom

5.
# Nd2BeAl3Au4

A geometry-optimized Nd2BeAl3Au4 structure (PBE, the Alexandria database).

Unit cell a=4.4019 b=4.4019 c=10.2800 alpha=90.00 beta=90.00 gamma=90.00
Last column: nearest neighbours and their distance in Å.
Atoms (fractional coordinates):
Nd  0.0000  0.5000  0.2421  2 Be 3.32, 6 Al 3.32-3.36, 8 Au 3.35-3.45
Nd  0.5000  0.0000  0.7579  2 Be 3.32, 6 Al 3.32-3.36, 8 Au 3.35-3.45
Be  0.5000  0.5000  0.0000  4 Au 2.53
Al  0.0000  0.0000  0.0000  4 Au 2.53
Al  0.0000  0.5000  0.6354  5 Au 2.51-2.60
Al  0.5000  0.0000  0.3646  5 Au 2.51-2.60
Au  0.0000  0.0000  0.5000  4 Al 2.60
Au  0.0000  0.5000  0.8793  3 Al 2.51-2.53, 2 Be 2.53
Au  0.5000  0.0000  0.1207  3 Al 2.51-2.53, 2 Be 2.53
Au  0.5000  0.5000  0.5000  4 Al 2.60

volume: 19.919 A^3/atom
DOS at the Fermi energy: 5.98 states/eV/cell
spin magnetization: 0.0 μB per formula unit
SG: P-4m2 (115)
raw total energy: -0.324 Ry per atom

6.
# NdBe2AlAu4

A geometry-optimized NdBe2AlAu4 structure (PBE, the Alexandria database).

Unit cell a=9.4924 b=9.4924 c=9.4924 alpha=25.81 beta=25.81 gamma=25.81
Last column: nearest neighbours and their distance in Å.
Atoms (fractional coordinates):
Nd  0.0000  0.0000  0.0000  6 Au 3.10
Be  0.2415  0.2415  0.2415  6 Au 2.53-2.66
Be  0.7585  0.7585  0.7585  6 Au 2.53-2.66
Al  0.5000  0.5000  0.5000  8 Au 2.65-2.68
Au  0.1296  0.1296  0.1296  3 Al 2.65, 3 Be 2.66, 3 Au 2.96
Au  0.4025  0.4025  0.4025  3 Be 2.53, 1 Al 2.68
Au  0.5975  0.5975  0.5975  3 Be 2.53, 1 Al 2.68
Au  0.8704  0.8704  0.8704  3 Al 2.65, 3 Be 2.66, 3 Au 2.96

volume: 17.847 A^3/atom
DOS at the Fermi energy: 4.17 states/eV/cell
spin magnetization: 0.0 μB per formula unit
SG: R-3m (166)
raw total energy: -0.292 Ry per atom

7.
# Nd2BeAlAu6

A geometry-optimized Nd2BeAlAu6 structure (PBE, the Alexandria database).

Unit cell a=6.5616 b=6.5631 c=6.7646 alpha=61.32 beta=61.08 gamma=60.58
Last column: nearest neighbours and their distance in Å.
Atoms (fractional coordinates):
Nd  0.2054  0.2053  0.3858  6 Au 3.09-3.31, 1 Be 3.45
Nd  0.7946  0.7947  0.6142  6 Au 3.09-3.31, 1 Be 3.45
Be  0.0000  0.0000  0.0000  6 Au 2.35-2.36
Al  0.5000  0.5000  0.5000  6 Au 2.54-2.55
Au  0.1746  0.6860  0.8304  1 Be 2.36, 1 Al 2.55
Au  0.3064  0.6931  0.1762  1 Be 2.36, 1 Al 2.54
Au  0.3108  0.1724  0.8295  1 Be 2.35, 1 Al 2.55
Au  0.6892  0.8276  0.1705  1 Be 2.35, 1 Al 2.55
Au  0.6936  0.3069  0.8238  1 Be 2.36, 1 Al 2.54
Au  0.8254  0.3140  0.1696  1 Be 2.36, 1 Al 2.55

volume: 21.058 A^3/atom
DOS at the Fermi energy: 4.30 states/eV/cell
spin magnetization: 0.0 μB per formula unit
SG: P-1 (2)
raw total energy: -0.308 Ry per atom

8.
# Be2AlPbAu

A geometry-optimized Be2AlPbAu structure (PBE, the Alexandria database).

Unit cell a=4.3951 b=4.3951 c=5.8371 alpha=90.00 beta=90.00 gamma=90.00
Last column: nearest neighbours and their distance in Å.
Atoms (fractional coordinates):
Be  0.0000  0.5000  0.0000  2 Au 2.20
Be  0.5000  0.0000  0.0000  2 Au 2.20
Al  0.0000  0.0000  0.5000  4 Pb 3.11
Pb  0.5000  0.5000  0.5000  2 Au 2.92, 4 Al 3.11
Au  0.5000  0.5000  0.0000  4 Be 2.20

volume: 22.551 A^3/atom
DOS at the Fermi energy: 1.99 states/eV/cell
spin magnetization: 0.0 μB per formula unit
SG: P4/mmm (123)
raw total energy: -0.223 Ry per atom

9.
# Pm2BeAlAu6

A geometry-optimized Pm2BeAlAu6 structure (PBE, the Alexandria database).

Unit cell a=6.5521 b=6.5592 c=6.7327 alpha=60.99 beta=61.22 gamma=60.57
Last column: nearest neighbours and their distance in Å.
Atoms (fractional coordinates):
Pm  0.2027  0.2032  0.3935  6 Au 3.06-3.28, 1 Be 3.38
Pm  0.7973  0.7968  0.6065  6 Au 3.06-3.28, 1 Be 3.38
Be  0.0000  0.0000  0.0000  6 Au 2.36
Al  0.5000  0.5000  0.5000  6 Au 2.54-2.55
Au  0.1654  0.3182  0.8292  1 Be 2.36, 1 Al 2.54
Au  0.3138  0.6926  0.8249  1 Be 2.36, 1 Al 2.54
Au  0.3150  0.8333  0.1688  1 Be 2.36, 1 Al 2.55
Au  0.6850  0.1667  0.8312  1 Be 2.36, 1 Al 2.55
Au  0.6862  0.3074  0.1751  1 Be 2.36, 1 Al 2.54
Au  0.8346  0.6818  0.1708  1 Be 2.36, 1 Al 2.54

volume: 20.884 A^3/atom
DOS at the Fermi energy: 4.19 states/eV/cell
spin magnetization: 0.0 μB per formula unit
SG: P-1 (2)
raw total energy: -0.308 Ry per atom

10.
# PmBeAl2Au5

A geometry-optimized PmBeAl2Au5 structure (PBE, the Alexandria database).

Unit cell a=7.5382 b=7.5382 c=7.5382 alpha=145.47 beta=132.71 gamma=59.86
Last column: nearest neighbours and their distance in Å.
Atoms (fractional coordinates):
Pm  0.0000  0.0000  0.0000  10 Au 3.02-3.29
Be  0.5000  0.5000  0.0000  6 Au 2.24-2.46
Al  0.3053  0.8053  0.5000  7 Au 2.54-2.79
Al  0.6947  0.1947  0.5000  7 Au 2.54-2.79
Au  0.0976  0.3534  0.7441  1 Be 2.46, 1 Al 2.55
Au  0.3907  0.6466  0.7441  1 Be 2.46, 1 Al 2.55
Au  0.5000  0.0000  0.5000  2 Be 2.24
Au  0.6093  0.3534  0.2559  1 Be 2.46, 1 Al 2.55
Au  0.9024  0.6466  0.2559  1 Be 2.46, 1 Al 2.55

volume: 19.637 A^3/atom
DOS at the Fermi energy: 4.19 states/eV/cell
spin magnetization: 0.0 μB per formula unit
SG: Immm (71)
raw total energy: -0.291 Ry per atom

11.
# PmBe2AlAu4

A geometry-optimized PmBe2AlAu4 structure (PBE, the Alexandria database).

Unit cell a=9.4358 b=9.4358 c=9.4358 alpha=25.94 beta=25.94 gamma=25.94
Last column: nearest neighbours and their distance in Å.
Atoms (fractional coordinates):
Pm  0.0000  0.0000  0.0000  6 Au 3.08
Be  0.2426  0.2426  0.2426  6 Au 2.52-2.66
Be  0.7574  0.7574  0.7574  6 Au 2.52-2.66
Al  0.5000  0.5000  0.5000  8 Au 2.65-2.68
Au  0.1293  0.1293  0.1293  3 Al 2.65, 3 Be 2.66, 3 Au 2.96
Au  0.4019  0.4019  0.4019  3 Be 2.52, 1 Al 2.68
Au  0.5981  0.5981  0.5981  3 Be 2.52, 1 Al 2.68
Au  0.8707  0.8707  0.8707  3 Al 2.65, 3 Be 2.66, 3 Au 2.96

volume: 17.702 A^3/atom
DOS at the Fermi energy: 4.10 states/eV/cell
spin magnetization: 0.0 μB per formula unit
SG: R-3m (166)
raw total energy: -0.292 Ry per atom